Ta4Mo3 (GGA-PBEsol, relaxed); magnetization = 0.000 μB per formula unit; space-group type = I4/mmm (139); formation energy = -0.13 eV per atom; distance to the lowest polymorph of the same formula = 0.0 meV/atom
1.0
3.193 0.000 0.000
0.000 3.193 0.000
-1.597 -1.597 11.315
Mo Ta
3 4
Direct
0.784 0.784 0.567 Mo
0.216 0.216 0.433 Mo
0.500 0.500 0.000 Mo
0.646 0.646 0.291 Ta
0.070 0.070 0.139 Ta
0.930 0.930 0.861 Ta
0.354 0.354 0.709 Ta



SbAsIr2 (GGA-PBEsol, relaxed); magnetization = 0.000 μB per formula unit; raw formation energy = 0.27 eV/atom; space-group type = I4/mmm (139); distance to the lowest polymorph of the same formula = 20.3 meV/atom
1.0
4.304 0.000 0.000
-2.152 4.148 0.004
0.000 2.230 3.681
Sb As Ir
1 1 2
Direct
0.500 0.000 0.500 Sb
0.000 0.000 0.000 As
0.250 0.500 0.250 Ir
0.750 0.500 0.750 Ir



CaCu2Ni (GGA-PBEsol, relaxed); magnetization = 0.001 μB per formula unit; space-group type = R-3m (166); formation energy = -0.05 eV per atom; distance to the lowest polymorph of the same formula = 7.8 meV/atom
1.0
4.054 0.000 0.000
2.027 3.511 0.000
2.027 1.170 4.752
Ni Ca Cu
1 1 2
Direct
0.000 0.000 0.000 Ni
0.500 0.500 0.500 Ca
0.694 0.694 0.918 Cu
0.306 0.306 0.082 Cu



Th2Se5 (GGA-PBEsol, relaxed); magnetization = 0.000 μB per formula unit; raw formation energy = -1.58 eV/atom; space-group type = Pbcn (60)
1.0
-3.636 -6.815 -1.641
6.908 -3.166 -2.157
1.623 -3.273 9.999
Th Se
8 20
Direct
0.756 0.994 0.854 Th
0.744 0.494 0.646 Th
0.256 0.006 0.646 Th
0.244 0.506 0.854 Th
0.244 0.006 0.146 Th
0.256 0.506 0.354 Th
0.744 0.994 0.354 Th
0.756 0.494 0.146 Th
0.628 0.622 0.393 Se
0.872 0.122 0.107 Se
0.128 0.378 0.107 Se
0.372 0.878 0.393 Se
0.372 0.378 0.607 Se
0.128 0.878 0.893 Se
0.872 0.622 0.893 Se
0.628 0.122 0.607 Se
0.115 0.135 0.396 Se
0.385 0.635 0.104 Se
0.615 0.865 0.104 Se
0.885 0.365 0.396 Se
0.885 0.865 0.604 Se
0.615 0.365 0.896 Se
0.385 0.135 0.896 Se
0.115 0.635 0.604 Se
0.000 0.750 0.250 Se
0.500 0.250 0.250 Se
0.000 0.250 0.750 Se
0.500 0.750 0.750 Se



ZnIr2Pt (GGA-PBEsol, relaxed); magnetization = 0.000 μB per formula unit; space-group type = I4/mmm (139); formation energy = -0.03 eV per atom
1.0
-2.250 2.418 2.025
-3.033 -0.974 -2.206
1.801 -3.496 2.470
Ir Pt Zn
2 1 1
Direct
0.750 0.250 0.500 Ir
0.250 0.750 0.500 Ir
0.500 0.500 0.000 Pt
0.000 0.000 0.000 Zn



CuHgSCl (GGA-PBEsol, relaxed); magnetization = 0.000 μB per formula unit; raw formation energy = -0.35 eV/atom; space-group type = Pmma (51); distance to the lowest polymorph of the same formula = 9.6 meV/atom
1.0
-3.577 -1.668 0.613
3.889 -6.485 5.045
-1.190 5.477 7.958
Cu Hg S Cl
4 4 4 4
Direct
0.000 0.211 0.907 Cu
0.000 0.789 0.407 Cu
0.000 0.789 0.093 Cu
0.000 0.211 0.593 Cu
0.500 0.211 0.250 Hg
0.500 0.500 0.500 Hg
0.500 0.789 0.750 Hg
0.500 0.500 0.000 Hg
0.500 0.762 0.995 S
0.500 0.762 0.505 S
0.500 0.238 0.005 S
0.500 0.238 0.495 S
0.000 0.023 0.750 Cl
0.000 0.977 0.250 Cl
0.000 0.572 0.250 Cl
0.000 0.428 0.750 Cl



Na2AlCrP4O14 (GGA-PBEsol, relaxed); magnetization = 3.000 μB per formula unit; raw formation energy = -2.34 eV/atom; space-group type = P2_1 (4)
1.0
7.268 0.000 -0.002
0.000 7.749 0.000
-3.470 0.000 8.739
Na Al Cr P O
4 2 2 8 28
Direct
0.292 0.475 0.046 Na
0.708 0.975 0.954 Na
0.709 0.524 0.453 Na
0.291 0.024 0.547 Na
0.741 0.991 0.502 Al
0.259 0.491 0.498 Al
0.260 0.007 0.996 Cr
0.740 0.507 0.004 Cr
0.923 0.756 0.794 P
0.077 0.256 0.206 P
0.070 0.247 0.701 P
0.930 0.747 0.299 P
0.325 0.707 0.792 P
0.675 0.207 0.208 P
0.669 0.290 0.702 P
0.331 0.790 0.298 P
0.467 0.583 0.905 O
0.533 0.083 0.095 O
0.521 0.414 0.595 O
0.479 0.914 0.405 O
0.118 0.649 0.807 O
0.882 0.149 0.193 O
0.874 0.355 0.689 O
0.126 0.855 0.311 O
0.804 0.636 0.854 O
0.196 0.136 0.146 O
0.181 0.367 0.635 O
0.819 0.867 0.365 O
0.309 0.692 0.627 O
0.691 0.192 0.373 O
0.687 0.297 0.869 O
0.313 0.797 0.131 O
0.807 0.793 0.626 O
0.193 0.293 0.374 O
0.191 0.216 0.870 O
0.809 0.716 0.130 O
0.990 0.919 0.892 O
0.010 0.419 0.108 O
0.000 0.082 0.607 O
0.000 0.582 0.393 O
0.357 0.897 0.843 O
0.643 0.397 0.157 O
0.641 0.103 0.645 O
0.359 0.603 0.355 O



NiAg2Ir (GGA-PBEsol, relaxed); magnetization = 1.045 μB per formula unit; space-group type = P4/mmm (123); formation energy = 0.46 eV per atom; distance to the lowest polymorph of the same formula = 0.0 meV/atom
1.0
3.752 0.000 0.000
0.000 3.752 0.000
0.000 0.000 4.090
Ag Ir Ni
2 1 1
Direct
0.000 0.500 0.000 Ag
0.500 0.000 0.000 Ag
0.500 0.500 0.500 Ir
0.000 0.000 0.500 Ni



ZrScTe2 (GGA-PBEsol, relaxed); magnetization = 0.000 μB per formula unit; raw formation energy = -1.05 eV/atom; space-group type = P4mm (99)
1.0
3.794 0.000 0.000
0.000 3.794 0.000
0.000 0.000 6.821
Sc Te Zr
1 2 1
Direct
0.500 0.500 0.765 Sc
0.000 0.000 0.922 Te
0.500 0.500 0.325 Te
0.000 0.000 0.488 Zr



InRh2AuC (GGA-PBEsol, relaxed); magnetization = 0.000 μB per formula unit; space-group type = P4/mmm (123); formation energy = 0.24 eV per atom
1.0
3.995 0.000 0.000
0.000 3.995 0.000
0.000 0.000 4.561
Rh C Au In
2 1 1 1
Direct
0.000 0.500 0.000 Rh
0.500 0.000 0.000 Rh
0.000 0.000 0.000 C
0.500 0.500 0.500 Au
0.000 0.000 0.500 In



Tl2AgAs (GGA-PBEsol, relaxed); magnetization = 0.000 μB per formula unit; space-group type = R3m (160); formation energy = 0.05 eV per atom; distance to the lowest polymorph of the same formula = 0.0 meV/atom
1.0
4.424 0.000 0.000
2.212 3.832 0.000
2.212 1.277 6.124
Tl As Ag
2 1 1
Direct
0.018 0.018 0.945 Tl
0.228 0.228 0.316 Tl
0.787 0.787 0.640 As
0.463 0.463 0.611 Ag



Mo2WAu (GGA-PBEsol, relaxed); magnetization = 0.000 μB per formula unit; space-group type = P4mm (99); formation energy = 0.27 eV per atom; distance to the lowest polymorph of the same formula = 129.6 meV/atom
1.0
-0.878 3.183 0.184
-3.188 -0.877 -0.041
0.016 -0.329 5.759
Au Mo W
1 2 1
Direct
0.500 0.500 0.750 Au
0.000 0.000 0.015 Mo
0.500 0.500 0.249 Mo
0.000 0.000 0.486 W



ZrCrBr2 (GGA-PBEsol, relaxed); magnetization = 5.063 μB per formula unit; raw formation energy = -0.17 eV/atom; space-group type = R-3m (166); distance to the lowest polymorph of the same formula = 177.9 meV/atom
1.0
3.342 0.000 0.000
1.671 2.894 0.000
1.671 0.965 9.467
Br Cr Zr
2 1 1
Direct
0.265 0.265 0.205 Br
0.735 0.735 0.795 Br
0.500 0.500 0.500 Cr
0.000 0.000 0.000 Zr



NaTl2Bi2 (GGA-PBEsol, relaxed); magnetization = 0.000 μB per formula unit; space-group type = P4/mbm (127); formation energy = -0.05 eV per atom
1.0
4.286 0.000 0.000
0.000 8.547 0.000
0.000 0.000 8.547
Na Tl Bi
2 4 4
Direct
0.000 0.000 0.000 Na
0.000 0.500 0.500 Na
0.500 0.161 0.661 Tl
0.500 0.661 0.839 Tl
0.500 0.839 0.339 Tl
0.500 0.339 0.161 Tl
0.000 0.368 0.868 Bi
0.000 0.868 0.632 Bi
0.000 0.632 0.132 Bi
0.000 0.132 0.368 Bi



Ca2TaW (GGA-PBEsol, relaxed); magnetization = 0.000 μB per formula unit; space-group type = Cmmm (65); formation energy = 0.90 eV per atom; distance to the lowest polymorph of the same formula = 283.0 meV/atom
1.0
-2.054 1.495 -1.229
-1.136 -0.535 2.528
4.264 8.995 3.818
Ca W Ta
2 1 1
Direct
0.000 0.000 0.240 Ca
0.000 0.000 0.760 Ca
0.500 0.500 0.000 W
0.500 0.500 0.500 Ta



LiHoP4O12 (GGA-PBEsol, relaxed); magnetization = 0.000 μB per formula unit; raw formation energy = -2.49 eV/atom; space-group type = C2/c (15)
1.0
7.008 0.000 0.000
3.504 8.090 -0.002
3.504 2.495 7.712
Li Ho P O
2 2 8 24
Direct
0.708 0.250 0.750 Li
0.292 0.750 0.250 Li
0.207 0.250 0.750 Ho
0.793 0.750 0.250 Ho
0.314 0.657 0.616 P
0.291 0.403 0.307 P
0.001 0.097 0.193 P
0.999 0.903 0.807 P
0.413 0.157 0.116 P
0.686 0.343 0.384 P
0.587 0.843 0.884 P
0.709 0.597 0.693 P
0.474 0.575 0.735 O
0.563 0.798 0.074 O
0.991 0.085 0.779 O
0.216 0.075 0.235 O
0.172 0.540 0.685 O
0.758 0.732 0.522 O
0.012 0.768 0.978 O
0.603 0.040 0.185 O
0.397 0.960 0.815 O
0.009 0.915 0.221 O
0.182 0.841 0.650 O
0.784 0.925 0.765 O
0.435 0.702 0.426 O
0.855 0.415 0.721 O
0.988 0.232 0.022 O
0.828 0.460 0.315 O
0.437 0.202 0.926 O
0.818 0.159 0.350 O
0.145 0.585 0.279 O
0.673 0.659 0.850 O
0.327 0.341 0.150 O
0.565 0.298 0.574 O
0.242 0.268 0.478 O
0.526 0.425 0.265 O



TlOsW2 (GGA-PBEsol, relaxed); magnetization = 0.000 μB per formula unit; space-group type = C2/m (12); formation energy = 0.70 eV per atom
1.0
-2.443 -1.735 -0.099
1.720 -2.207 -3.784
2.924 -1.741 3.716
Os Tl W
1 1 2
Direct
0.500 0.000 0.000 Os
0.000 0.500 0.000 Tl
0.239 0.222 0.478 W
0.761 0.778 0.522 W



H2IrPdCl (GGA-PBEsol, relaxed); magnetization = 0.003 μB per formula unit; space-group type = P4/mmm (123); total energy = -4.06 eV/atom
1.0
-0.524 -2.251 2.475
3.226 -1.002 -0.229
1.356 3.559 3.524
H Ir Pd Cl
2 1 1 1
Direct
0.000 0.500 0.000 H
0.500 0.000 0.000 H
0.500 0.500 0.500 Ir
0.000 0.000 0.000 Pd
0.000 0.000 0.500 Cl



SrSi2Br (GGA-PBEsol, relaxed); magnetization = 0.000 μB per formula unit; raw formation energy = -0.34 eV/atom; space-group type = Imm2 (44)
1.0
3.850 0.000 0.000
1.925 5.316 0.150
1.925 1.908 4.964
Br Si Sr
1 2 1
Direct
0.734 0.766 0.766 Br
0.947 0.053 0.053 Si
0.305 0.195 0.195 Si
0.514 0.486 0.486 Sr



La3BeGaS7 (GGA-PBEsol, relaxed); magnetization = 0.000 μB per formula unit; raw formation energy = -1.65 eV/atom; space-group type = P6_3 (173)
1.0
-2.702 4.160 -3.428
-9.034 -4.387 1.798
3.431 7.340 6.201
La Be Ga S
6 2 2 14
Direct
0.246 0.138 0.391 La
0.246 0.253 0.862 La
0.246 0.609 0.747 La
0.746 0.862 0.609 La
0.746 0.747 0.138 La
0.746 0.391 0.253 La
0.660 0.333 0.667 Be
0.160 0.667 0.333 Be
0.009 0.000 0.000 Ga
0.509 0.000 0.000 Ga
0.776 0.078 0.223 S
0.776 0.145 0.922 S
0.776 0.777 0.855 S
0.276 0.922 0.777 S
0.276 0.855 0.078 S
0.276 0.223 0.145 S
0.529 0.406 0.520 S
0.529 0.113 0.594 S
0.529 0.480 0.887 S
0.029 0.594 0.480 S
0.029 0.887 0.406 S
0.029 0.520 0.113 S
0.011 0.333 0.667 S
0.511 0.667 0.333 S



KMg2Sb2 (GGA-PBEsol, relaxed); magnetization = 0.000 μB per formula unit; raw formation energy = -0.33 eV/atom; space-group type = P4/mbm (127); distance to the lowest polymorph of the same formula = 104.1 meV/atom
1.0
-2.603 1.640 -1.574
-5.181 -1.723 6.771
2.428 7.460 3.756
Sb K Mg
4 2 4
Direct
0.500 0.166 0.666 Sb
0.500 0.666 0.834 Sb
0.500 0.834 0.334 Sb
0.500 0.334 0.166 Sb
0.000 0.000 0.000 K
0.000 0.500 0.500 K
0.000 0.373 0.873 Mg
0.000 0.873 0.627 Mg
0.000 0.627 0.127 Mg
0.000 0.127 0.373 Mg



BeTc2 (GGA-PBEsol, relaxed); magnetization = 0.000 μB per formula unit; space-group type = I4/mmm (139); formation energy = -0.17 eV per atom; distance to the lowest polymorph of the same formula = 82.1 meV/atom
1.0
-1.297 -2.127 -1.575
1.659 0.714 -2.330
2.740 -2.000 3.203
Be Tc
1 2
Direct
0.000 0.000 0.000 Be
0.336 0.336 0.673 Tc
0.664 0.664 0.327 Tc